Entry 1:
Density functional theory data (GGA-PBE) for crystalline HoGa6Fe6 at its relaxed geometry.

Calculated values
The value obtained for the energy above the most stable polymorph in this dataset is 0.144 eV/atom. The value obtained for the volume is 190.3 Å³/f.u. Its crystal system is orthorhombic. The calculation puts the total energy at -5.8251 eV/atom. As for the total magnetic moment: 1.023 μB per atom.

a = 8.572 Å, b = 6.629 Å, c = 6.554 Å
α = 81.11°, β = 49.82°, γ = 49.07°
Site moments in Bohr magnetons follow the coordinates.
Fractional coordinates of all 13 atoms:
Ho1 0.000 0.000 0.000  -0.18
Ga1 0.500 0.500 0.000  -0.05
Ga2 0.000 0.000 0.500  -0.05
Ga3 0.983 0.649 0.351  -0.06
Ga4 0.017 0.351 0.649  -0.06
Ga5 0.351 0.017 0.983  -0.06
Ga6 0.649 0.983 0.017  -0.06
Fe1 0.506 0.709 0.291  2.38
Fe2 0.494 0.291 0.709  2.38
Fe3 0.291 0.494 0.506  2.38
Fe4 0.709 0.506 0.494  2.38
Fe5 0.000 0.500 0.000  2.15
Fe6 0.500 0.000 0.500  2.15


Entry 2:
Density functional theory data (GGA-PBE) for crystalline HoLuGaFe at its relaxed geometry.

Calculated values
The value obtained for the volume is 81.2 Å³/f.u. Its crystal system is cubic. The calculation puts the total energy at -5.3617 eV/atom. As for the total magnetic moment: 0.285 μB per atom.

a = 4.861 Å, b = 4.861 Å, c = 4.861 Å
α = 60.00°, β = 60.00°, γ = 60.00°
Site moments in Bohr magnetons follow the coordinates.
Fractional coordinates of all 4 atoms:
Lu1 0.500 0.500 0.500  -0.21
Ho1 0.000 0.000 0.000  -0.23
Ga1 0.750 0.750 0.750  -0.03
Fe1 0.250 0.250 0.250  1.65


Entry 3:
Density functional theory data (GGA-PBE) for crystalline HoGa3FeNi at its relaxed geometry.

Calculated values
The value obtained for the volume is 106.8 Å³/f.u. Its crystal system is orthorhombic. The calculation puts the total energy at -4.8671 eV/atom. As for the total magnetic moment: 0.018 μB per atom.

a = 5.491 Å, b = 7.630 Å, c = 6.369 Å
α = 126.80°, β = 90.00°, γ = 90.00°
Site moments in Bohr magnetons follow the coordinates.
Fractional coordinates of all 12 atoms:
Ho1 0.750 0.295 0.590  -0.02
Ho2 0.250 0.705 0.410  -0.02
Ga1 0.250 0.199 0.399  0.00
Ga2 0.000 0.257 0.000  0.00
Ga3 0.500 0.743 0.000  0.00
Ga4 0.500 0.257 0.000  0.00
Ga5 0.000 0.743 0.000  0.00
Ga6 0.750 0.801 0.601  0.00
Fe1 0.250 0.426 0.853  0.15
Fe2 0.750 0.574 0.147  0.15
Ni1 0.250 0.971 0.943  0.00
Ni2 0.750 0.029 0.057  0.00


- volume of number 3 (HoGa3FeNi)?
  106.8 Å³/f.u.


Repeat the third record exactly.
Density functional theory data (GGA-PBE) for crystalline HoGa3FeNi at its relaxed geometry.

Calculated values
The value obtained for the volume is 106.8 Å³/f.u. Its crystal system is orthorhombic. The calculation puts the total energy at -4.8671 eV/atom. As for the total magnetic moment: 0.018 μB per atom.

a = 5.491 Å, b = 7.630 Å, c = 6.369 Å
α = 126.80°, β = 90.00°, γ = 90.00°
Site moments in Bohr magnetons follow the coordinates.
Fractional coordinates of all 12 atoms:
Ho1 0.750 0.295 0.590  -0.02
Ho2 0.250 0.705 0.410  -0.02
Ga1 0.250 0.199 0.399  0.00
Ga2 0.000 0.257 0.000  0.00
Ga3 0.500 0.743 0.000  0.00
Ga4 0.500 0.257 0.000  0.00
Ga5 0.000 0.743 0.000  0.00
Ga6 0.750 0.801 0.601  0.00
Fe1 0.250 0.426 0.853  0.15
Fe2 0.750 0.574 0.147  0.15
Ni1 0.250 0.971 0.943  0.00
Ni2 0.750 0.029 0.057  0.00